Version 1
This record from Alexandria via LeMat-Bulk describes a geometry-optimized PmNdZnAg structure. The functional is PBE-GGA.

## Properties
Crystal system   cubic

a b c (Å): 7.429 7.429 7.429
angles (deg): 90.00 90.00 90.00
Space group F-43m (No. 216)
Asymmetric unit:
1 Pm 0.000 0.000 0.000 (multiplicity 4)
2 Nd 0.000 0.000 0.500 (multiplicity 4)
3 Zn 0.250 0.250 0.750 (multiplicity 4)
4 Ag 0.250 0.250 0.250 (multiplicity 4)

---

Version 2
This record from Alexandria via LeMat-Bulk describes a geometry-optimized PmNdZnAg structure. The functional is PBE-GGA.

## Properties
Crystal system   tetragonal

a b c (Å): 3.732 3.732 7.300
angles (deg): 90.00 90.00 90.00
Space group P4mm (No. 99)
Asymmetric unit:
1 Pm 0.000 0.000 0.000 (multiplicity 1)
2 Nd 0.000 0.000 0.484 (multiplicity 1)
3 Zn 0.500 0.500 0.239 (multiplicity 1)
4 Ag 0.500 0.500 0.747 (multiplicity 1)

---

Energy ordering: version 2 at the bottom, the next structure 18 meV per atom above.